PmBeBi | PBE | relaxed

Cell and atoms, written as POSCAR:
```
PmBeBi
1.0
4.404 -0.106 -0.084
-0.128 4.403 -0.084
-1.986 -1.996 7.972
Be Pm Bi
2 2 2
direct
0.188 0.188 0.500
0.812 0.812 0.500
0.174 0.174 0.849
0.826 0.826 0.151
0.383 0.383 0.266
0.617 0.617 0.734
```

Output
DFT formation energy   -0.093 eV per atom
Raw total energy   -12.6 eV per formula unit